(1)
Mg3ZrGa: optimized geometry, GGA-PBE.

Cell: 5.661 5.661 5.661 Å, 90.00 90.00 90.00°
Atoms (fractional coordinates):
Mg (0.000, 0.000, 0.500)
Mg (0.000, 0.500, 0.000)
Mg (0.500, 0.000, 0.000)
Zr (0.000, 0.000, 0.000)
Ga (0.500, 0.500, 0.500)

Its total magnetization is 3.54 Bohr magnetons per cell. The calculation puts the energy at -2.153 eV per atom. The calculation puts the excess energy over the best structure of this formula in the dataset at 656 meV per atom. Its volume is 36.29 A^3/atom. The space group is Pm-3m.

---

(2)
Dy3Ho7Er: optimized geometry, GGA-PBE.

Cell: 6.892 5.474 9.839 Å, 90.00 110.27 90.00°
Atoms (fractional coordinates):
Dy (0.000, 0.000, 0.000)
Dy (0.279, 0.500, 0.499)
Dy (0.721, 0.500, 0.501)
Ho (0.000, 0.000, 0.500)
Ho (0.146, 0.500, 0.791)
Ho (0.320, 0.500, 0.140)
Ho (0.417, 0.000, 0.330)
Ho (0.583, 0.000, 0.670)
Ho (0.680, 0.500, 0.860)
Ho (0.854, 0.500, 0.209)
Er (0.500, 0.000, 0.000)

Its total magnetization is 0.00 Bohr magnetons per cell. The calculation puts the energy at -4.432 eV per atom. The calculation puts the excess energy over the best structure of this formula in the dataset at 0 meV per atom. Its volume is 31.65 A^3/atom. The space group is P2/m.

---

(3)
TaNbIrRh: optimized geometry, GGA-PBE.

Cell: 4.075 4.075 7.741 Å, 90.00 90.00 90.00°
Atoms (fractional coordinates):
Ta (0.000, 0.000, 0.000)
Ta (0.500, 0.500, 0.500)
Nb (0.000, 0.000, 0.500)
Nb (0.500, 0.500, 0.000)
Ir (0.000, 0.500, 0.750)
Ir (0.500, 0.000, 0.250)
Rh (0.000, 0.500, 0.250)
Rh (0.500, 0.000, 0.750)

Its total magnetization is 0.00 Bohr magnetons per cell. The calculation puts the energy at -10.049 eV per atom. Its volume is 16.07 A^3/atom. The space group is I-4m2.

---

(4)
BeInSe2N: optimized geometry, GGA-PBE.

Cell: 5.127 5.127 4.069 Å, 90.00 90.00 90.00°
Atoms (fractional coordinates):
Be (0.000, 0.000, 0.000)
In (0.500, 0.500, 0.500)
Se (0.000, 0.500, 0.500)
Se (0.500, 0.000, 0.500)
N (0.500, 0.500, 0.000)

Its total magnetization is 0.00 Bohr magnetons per cell. The calculation puts the energy at -2.956 eV per atom. The calculation puts the excess energy over the best structure of this formula in the dataset at 1087 meV per atom. Its volume is 21.39 A^3/atom. The space group is P4/mmm. As for the raw formation energy: 1.396 eV per atom.

---

(5)
SrScAlCr2: optimized geometry, GGA-PBE.

Cell: 5.051 5.051 5.271 Å, 90.00 90.00 90.00°
Atoms (fractional coordinates):
Sr (0.000, 0.000, 0.000)
Sc (0.500, 0.500, 0.000)
Al (0.500, 0.500, 0.500)
Cr (0.000, 0.500, 0.500)
Cr (0.500, 0.000, 0.500)

Its total magnetization is 7.98 Bohr magnetons per cell. The calculation puts the energy at -5.464 eV per atom. Its volume is 26.90 A^3/atom. The space group is P4/mmm.

---

(6)
LaSm2DyTm: optimized geometry, GGA-PBE.

Cell: 3.652 5.624 8.620 Å, 90.00 90.00 90.00°
Atoms (fractional coordinates):
La (0.000, 0.000, 0.000)
Sm (0.000, 0.500, 0.322)
Sm (0.000, 0.500, 0.678)
Dy (0.500, 0.500, 0.000)
Tm (0.500, 0.000, 0.500)

Its total magnetization is 0.00 Bohr magnetons per cell. The calculation puts the energy at -4.417 eV per atom. Its volume is 35.41 A^3/atom. The space group is Pmmm.

---

(7)
Cs2CrCoS4: optimized geometry, GGA-PBE.

Cell: 14.343 12.781 7.545 Å, 85.68 62.69 31.63°
Atoms (fractional coordinates):
Cs (0.051, 0.051, 0.699)
Cs (0.301, 0.301, 0.949)
Cs (0.699, 0.699, 0.051)
Cs (0.949, 0.949, 0.301)
Cr (0.125, 0.125, 0.125)
Cr (0.875, 0.875, 0.875)
Co (0.375, 0.375, 0.375)
Co (0.625, 0.625, 0.625)
S (0.017, 0.330, 0.407)
S (0.254, 0.593, 0.670)
S (0.330, 0.017, 0.746)
S (0.407, 0.746, 0.017)
S (0.593, 0.254, 0.983)
S (0.670, 0.983, 0.254)
S (0.746, 0.407, 0.330)
S (0.983, 0.670, 0.593)

Its total magnetization is 2.00 Bohr magnetons per cell. The calculation puts the energy at -5.274 eV per atom. Its volume is 29.66 A^3/atom. The space group is Fddd. As for the raw formation energy: -0.906 eV per atom.

---

(8)
NdCd2Sb2: optimized geometry, GGA-PBE.

Cell: 13.653 13.653 4.449 Å, 90.00 90.00 161.44°
Atoms (fractional coordinates):
Nd (0.158, 0.842, 0.750)
Nd (0.842, 0.158, 0.250)
Cd (0.039, 0.961, 0.250)
Cd (0.457, 0.543, 0.250)
Cd (0.543, 0.457, 0.750)
Cd (0.961, 0.039, 0.750)
Sb (0.250, 0.750, 0.250)
Sb (0.375, 0.625, 0.750)
Sb (0.625, 0.375, 0.250)
Sb (0.750, 0.250, 0.750)

Its total magnetization is 0.00 Bohr magnetons per cell. The calculation puts the energy at -3.443 eV per atom. Its volume is 26.40 A^3/atom. The space group is Cmcm. As for the raw formation energy: -0.475 eV per atom.

---

(9)
CsMnVCo2: optimized geometry, GGA-PBE.

Cell: 4.737 4.737 4.268 Å, 90.00 90.00 90.00°
Atoms (fractional coordinates):
Cs (0.000, 0.000, 0.000)
Mn (0.500, 0.500, 0.500)
V (0.500, 0.500, 0.000)
Co (0.000, 0.500, 0.500)
Co (0.500, 0.000, 0.500)

Its total magnetization is 3.85 Bohr magnetons per cell. The calculation puts the energy at -5.280 eV per atom. Its volume is 19.15 A^3/atom. The space group is P4/mmm.

---

(10)
MnTlIn2W: optimized geometry, GGA-PBE.

Cell: 4.904 4.904 4.957 Å, 90.00 90.00 90.00°
Atoms (fractional coordinates):
Mn (0.000, 0.000, 0.000)
Tl (0.000, 0.000, 0.500)
In (0.000, 0.500, 0.000)
In (0.500, 0.000, 0.000)
W (0.500, 0.500, 0.500)

Its total magnetization is 0.75 Bohr magnetons per cell. The calculation puts the energy at -4.346 eV per atom. Its volume is 23.84 A^3/atom. The space group is P4/mmm.

---

(11)
Y2Ga6Ni3: optimized geometry, GGA-PBE.

Cell: 7.405 7.405 4.052 Å, 90.00 90.00 120.00°
Atoms (fractional coordinates):
Y (0.333, 0.667, 0.000)
Y (0.667, 0.333, 0.000)
Ga (0.000, 0.203, 0.000)
Ga (0.000, 0.691, 0.500)
Ga (0.203, 0.000, 0.000)
Ga (0.309, 0.309, 0.500)
Ga (0.691, 0.000, 0.500)
Ga (0.797, 0.797, 0.000)
Ni (0.000, 0.367, 0.500)
Ni (0.367, 0.000, 0.500)
Ni (0.633, 0.633, 0.500)

Its total magnetization is 0.00 Bohr magnetons per cell. The calculation puts the energy at -4.920 eV per atom. Its volume is 17.49 A^3/atom. The space group is P-62m.

---

(12)
BaCuSnAs2: optimized geometry, GGA-PBE.

Cell: 6.945 6.945 9.638 Å, 104.51 104.51 35.29°
Atoms (fractional coordinates):
Ba (0.113, 0.113, 0.228)
Ba (0.887, 0.887, 0.772)
Cu (0.196, 0.196, 0.898)
Cu (0.804, 0.804, 0.102)
Sn (0.424, 0.424, 0.344)
Sn (0.576, 0.576, 0.656)
As (0.195, 0.195, 0.619)
As (0.384, 0.384, 0.039)
As (0.616, 0.616, 0.961)
As (0.805, 0.805, 0.381)

Its total magnetization is 0.00 Bohr magnetons per cell. The calculation puts the energy at -4.325 eV per atom. Its volume is 25.91 A^3/atom. The space group is C2/m.

---

Please write out number 10 again, unchanged.
MnTlIn2W: optimized geometry, GGA-PBE.

Cell: 4.904 4.904 4.957 Å, 90.00 90.00 90.00°
Atoms (fractional coordinates):
Mn (0.000, 0.000, 0.000)
Tl (0.000, 0.000, 0.500)
In (0.000, 0.500, 0.000)
In (0.500, 0.000, 0.000)
W (0.500, 0.500, 0.500)

Its total magnetization is 0.75 Bohr magnetons per cell. The calculation puts the energy at -4.346 eV per atom. Its volume is 23.84 A^3/atom. The space group is P4/mmm.

---

What is the volume in the seventh record? 29.66 A^3/atom

---

What is the energy in the second record? -4.432 eV per atom

---

The highest volume belongs to which entry? Mg3ZrGa